Crystalline Fe7O3F9 at its relaxed geometry, computed with GGA+U.

abc: 5.5033 5.6758 9.1302
angles: 75.35 89.61 61.85
Fractional positions:
Fe 0.0000 0.0000 0.0000
Fe 0.0181 0.8737 0.3595
Fe 0.1586 0.5113 0.7438
Fe 0.2874 0.3584 0.1018
Fe 0.4483 0.9855 0.5079
Fe 0.5318 0.8814 0.8564
Fe 0.7031 0.4354 0.5894
O 0.2356 0.1855 0.9403
O 0.3004 0.6627 0.5538
O 0.7274 0.6932 0.6972
F 0.1336 0.2111 0.6299
F 0.2104 0.1433 0.3058
F 0.2502 0.6649 0.2013
F 0.2956 0.6728 0.8951
F 0.6992 0.1852 0.7896
F 0.7092 0.1705 0.4764
F 0.7331 0.1414 0.1614
F 0.7635 0.6766 0.4047
F 0.8560 0.7075 0.0256

Properties
Electronic total energy: -5.83 eV/atom
Symmetry: No. 1